[1]
Material: Na3SbAs2
Method: DFT, GGA-PBE
State: optimized geometry

a b c (Å): 8.3840 8.3840 9.8090
angles (deg): 90.00 90.00 109.42
With the nearest neighbours (Å) after each atom.
Positions (direct):
Na (0.1207, 0.8793, 0.7506)  4 As 3.02-3.13, 4 Na 3.36
Na (0.1242, 0.3765, 0.0126)  4 As 2.93-3.10
Na (0.1235, 0.3758, 0.4874)  4 As 2.93-3.10
Na (0.3758, 0.1235, 0.5126)  4 As 2.93-3.10
Na (0.3765, 0.1242, 0.9874)  4 As 2.93-3.10
Na (0.3793, 0.6207, 0.2506)  4 As 3.02-3.13, 4 Na 3.36
Na (0.6207, 0.3793, 0.7494)  4 As 3.02-3.13, 4 Na 3.36
Na (0.6235, 0.8758, 0.0126)  4 As 2.93-3.10
Na (0.6242, 0.8765, 0.4874)  4 As 2.93-3.10
Na (0.8765, 0.6242, 0.5126)  4 As 2.93-3.10
Na (0.8758, 0.6235, 0.9874)  4 As 2.93-3.10
Na (0.8793, 0.1207, 0.2494)  4 As 3.02-3.13, 4 Na 3.36
Sb (0.1312, 0.8688, 0.2500)  4 As 2.83-2.95
Sb (0.3688, 0.6312, 0.7500)  4 As 2.83-2.95
Sb (0.6312, 0.3688, 0.2500)  4 As 2.83-2.95
Sb (0.8688, 0.1312, 0.7500)  4 As 2.83-2.95
As (0.2263, 0.2737, 0.7500)  2 Sb 2.83, 6 Na 2.93-3.13
As (0.2498, 0.7502, 0.0009)  2 Sb 2.93-2.95, 6 Na 2.96-3.02
As (0.2502, 0.7498, 0.5009)  2 Sb 2.93-2.95, 6 Na 2.96-3.02
As (0.2737, 0.2263, 0.2500)  2 Sb 2.83, 6 Na 2.93-3.13
As (0.7263, 0.7737, 0.7500)  2 Sb 2.83, 6 Na 2.93-3.13
As (0.7498, 0.2502, 0.4991)  2 Sb 2.93-2.95, 6 Na 2.96-3.02
As (0.7502, 0.2498, 0.9991)  2 Sb 2.93-2.95, 6 Na 2.96-3.02
As (0.7737, 0.7263, 0.2500)  2 Sb 2.83, 6 Na 2.93-3.13

Output
The calculated volume is 27.1 A^3/atom. The total magnetization is 0.000 μB/f.u. Its space group is Cmce (64). Its raw total energy is -0.1180 Ha/atom.

[2]
Material: NaSbAs
Method: DFT, GGA-PBE
State: optimized geometry

a b c (Å): 5.2063 5.2063 3.1048
angles (deg): 90.00 90.00 120.00
With the nearest neighbours (Å) after each atom.
Positions (direct):
Na (0.0000, 0.0000, 0.0000)  2 Na 3.10, 6 As 3.38, 6 Sb 3.38
Sb (0.3333, 0.6667, 0.5000)  3 As 3.01, 2 Sb 3.10
As (0.6667, 0.3333, 0.5000)  3 Sb 3.01, 2 As 3.10

Output
For the energy above the most stable polymorph in this dataset, the calculation gives 0.36 eV per formula unit. The calculated volume is 24.3 A^3/atom. The total magnetization is 0.000 μB/f.u. Its space group is P-6m2 (187).

[3]
Material: Na2SbAs
Method: DFT, GGA-PBE
State: optimized geometry

a b c (Å): 6.7815 6.7815 6.7815
angles (deg): 99.96 99.96 130.85
With the nearest neighbours (Å) after each atom.
Positions (direct):
Na (0.0834, 0.6250, 0.9584)  2 Na 2.91, 2 As 2.92
Na (0.3750, 0.3334, 0.4584)  2 Na 2.91, 2 As 2.92
Na (0.6666, 0.1250, 0.0416)  2 Na 2.91, 2 As 2.92
Na (0.8750, 0.9166, 0.5416)  2 Na 2.91, 2 As 2.92
Sb (0.2500, 0.7500, 0.5000)  2 As 2.82
Sb (0.5000, 0.5000, 0.0000)  2 As 2.82
As (0.0000, 0.0000, 0.0000)  2 Sb 2.82, 4 Na 2.92
As (0.7500, 0.2500, 0.5000)  2 Sb 2.82, 4 Na 2.92

Output
For the energy above the most stable polymorph in this dataset, the calculation gives 1.11 eV per formula unit. The calculated volume is 26.8 A^3/atom. The total magnetization is 0.000 μB/f.u. Its space group is I-42d (122).

[4]
Material: Na2SbAs
Method: DFT, GGA-PBE
State: optimized geometry

a b c (Å): 3.1819 3.1819 9.3460
angles (deg): 90.00 90.00 90.00
With the nearest neighbours (Å) after each atom.
Positions (direct):
Na (0.0000, 0.0000, 0.2272)  4 As 3.09, 4 Na 3.18, 4 Sb 3.40
Na (0.0000, 0.0000, 0.7728)  4 As 3.09, 4 Na 3.18, 4 Sb 3.40
Sb (0.5000, 0.5000, 0.5000)  4 Sb 3.18, 8 Na 3.40
As (0.5000, 0.5000, 0.0000)  8 Na 3.09, 4 As 3.18

Output
For the energy above the most stable polymorph in this dataset, the calculation gives 0.30 eV per formula unit. The calculated volume is 23.7 A^3/atom. The total magnetization is 0.000 μB/f.u. Its space group is P4/mmm (123).

[5]
Material: Na6SbAs
Method: DFT, GGA-PBE
State: optimized geometry

a b c (Å): 5.2070 5.2120 9.0084
angles (deg): 73.34 73.30 60.09
With the nearest neighbours (Å) after each atom.
Positions (direct):
Na (0.1203, 0.1177, 0.1432)  1 As 3.03, 4 Na 3.11-3.21, 3 Sb 3.24-3.25
Na (0.2427, 0.2471, 0.7650)  8 Na 3.11-3.29
Na (0.3710, 0.3688, 0.3904)  3 As 3.14-3.16, 4 Na 3.18-3.29, 1 Sb 3.32
Na (0.6290, 0.6312, 0.6096)  3 As 3.14-3.16, 4 Na 3.18-3.29, 1 Sb 3.32
Na (0.7573, 0.7529, 0.2350)  8 Na 3.11-3.29
Na (0.8797, 0.8823, 0.8568)  1 As 3.03, 4 Na 3.11-3.21, 3 Sb 3.24-3.25
Sb (0.5000, 0.5000, 0.0000)  14 Na 3.24-3.62
As (0.0000, 0.0000, 0.5000)  8 Na 3.03-3.16

Output
The calculated volume is 25.0 A^3/atom. The total magnetization is 0.000 μB/f.u. Its space group is P-1 (2). Its raw total energy is -0.0909 Ha/atom.

[6]
Material: Na3SbAs
Method: DFT, GGA-PBE
State: optimized geometry

a b c (Å): 5.8929 5.8929 5.8929
angles (deg): 90.00 90.00 90.00
With the nearest neighbours (Å) after each atom.
Positions (direct):
Na (0.0000, 0.0000, 0.5000)  2 Sb 2.95
Na (0.0000, 0.5000, 0.0000)  2 Sb 2.95
Na (0.5000, 0.0000, 0.0000)  2 Sb 2.95
Sb (0.0000, 0.0000, 0.0000)  6 Na 2.95
As (0.5000, 0.5000, 0.5000)  12 Na 4.17

Output
For the energy above the most stable polymorph in this dataset, the calculation gives 2.84 eV per formula unit. The calculated volume is 40.9 A^3/atom. The total magnetization is 3.000 μB/f.u. Its space group is Pm-3m (221).

[7]
Material: Na3SbAs
Method: DFT, GGA-PBE
State: optimized geometry

a b c (Å): 7.5050 7.5050 7.5050
angles (deg): 94.62 117.73 117.02
With the nearest neighbours (Å) after each atom.
Positions (direct):
Na (0.2057, 0.0253, 0.2310)  2 As 2.95-3.27, 2 Sb 3.11-3.23, 1 Na 3.23
Na (0.2057, 0.4747, 0.6804)  2 As 2.95-3.27, 2 Sb 3.11-3.23, 1 Na 3.23
Na (0.6223, 0.9180, 0.2043)  2 As 2.93-2.99
Na (0.7136, 0.4180, 0.7957)  2 As 2.93-2.99
Na (0.7943, 0.5253, 0.3196)  2 As 2.95-3.27, 2 Sb 3.11-3.23, 1 Na 3.23
Na (0.7943, 0.9747, 0.7690)  2 As 2.95-3.27, 2 Sb 3.11-3.23, 1 Na 3.23
Sb (0.1478, 0.0321, 0.6156)  1 As 2.60
Sb (0.4165, 0.5321, 0.3844)  1 As 2.60
As (0.1309, 0.7884, 0.8425)  1 Sb 2.60
As (0.9458, 0.2884, 0.1575)  1 Sb 2.60

Output
For the energy above the most stable polymorph in this dataset, the calculation gives 0.47 eV per formula unit. The calculated volume is 31.0 A^3/atom. The total magnetization is 0.000 μB/f.u. Its space group is Ima2 (46).

[8]
Material: Na4SbAs
Method: DFT, GGA-PBE
State: optimized geometry

a b c (Å): 7.9082 7.9082 7.9082
angles (deg): 118.83 118.83 92.04
With the nearest neighbours (Å) after each atom.
Positions (direct):
Na (0.0188, 0.9840, 0.7251)  2 As 2.97-3.06, 2 Sb 3.23-3.32, 3 Na 3.25
Na (0.2063, 0.4812, 0.4652)  2 As 2.97-3.06, 2 Sb 3.23-3.32, 3 Na 3.25
Na (0.2411, 0.7063, 0.2251)  2 As 2.97-3.06, 2 Sb 3.23-3.32, 3 Na 3.25
Na (0.4840, 0.2589, 0.9652)  2 As 2.97-3.06, 2 Sb 3.23-3.32, 3 Na 3.25
Na (0.5160, 0.7411, 0.0348)  2 As 2.97-3.06, 2 Sb 3.23-3.32, 3 Na 3.25
Na (0.7589, 0.2937, 0.7749)  2 As 2.97-3.06, 2 Sb 3.23-3.32, 3 Na 3.25
Na (0.7937, 0.5188, 0.5348)  2 As 2.97-3.06, 2 Sb 3.23-3.32, 3 Na 3.25
Na (0.9812, 0.0160, 0.2749)  2 As 2.97-3.06, 2 Sb 3.23-3.32, 3 Na 3.25
Sb (0.3750, 0.1250, 0.2500)  8 Na 3.23-3.32
Sb (0.6250, 0.8750, 0.7500)  8 Na 3.23-3.32
As (0.1250, 0.3750, 0.7500)  8 Na 2.97-3.06
As (0.8750, 0.6250, 0.2500)  8 Na 2.97-3.06

Output
The calculated volume is 29.6 A^3/atom. The total magnetization is 1.676 μB/f.u. Its space group is I4_1/a (88). Its raw total energy is -0.0926 Ha/atom.

[9]
Material: Na8Sb2As
Method: DFT, GGA-PBE
State: optimized geometry

a b c (Å): 4.9982 7.7493 9.2549
angles (deg): 65.27 74.37 89.99
With the nearest neighbours (Å) after each atom.
Positions (direct):
Na (0.0000, 0.0000, 0.0000)  3 Sb 3.11-3.12, 5 Na 3.25-3.42
Na (0.0443, 0.5439, 0.9093)  1 As 3.06, 2 Sb 3.28, 2 Na 3.42
Na (0.1999, 0.3272, 0.6004)  1 As 3.09, 2 Na 3.36
Na (0.3541, 0.8527, 0.2907)  1 As 3.06, 2 Sb 3.28, 2 Na 3.42
Na (0.3988, 0.3993, 0.2002)  3 Sb 3.11-3.12, 5 Na 3.26-3.42
Na (0.6028, 0.9354, 0.7955)  2 As 3.06, 4 Na 3.13-3.26, 1 Sb 3.18
Na (0.6989, 0.6653, 0.5999)  2 Sb 3.16, 2 As 3.23, 6 Na 3.25-3.54
Na (0.7967, 0.1313, 0.4051)  2 As 3.06, 4 Na 3.13-3.26, 1 Sb 3.18
Sb (0.5409, 0.2655, 0.9175)  8 Na 3.11-3.47
Sb (0.8580, 0.5833, 0.2819)  8 Na 3.11-3.46
As (0.1998, 0.9292, 0.5999)  9 Na 3.06-3.23

Output
For the energy above the most stable polymorph in this dataset, the calculation gives 0.11 eV per formula unit. The calculated volume is 28.3 A^3/atom. The total magnetization is 0.000 μB/f.u. Its space group is P1 (1).

[10]
Material: Na3Sb2As2
Method: DFT, GGA-PBE
State: optimized geometry

a b c (Å): 4.0810 5.9920 8.6188
angles (deg): 93.15 103.68 109.80
With the nearest neighbours (Å) after each atom.
Positions (direct):
Na (0.0000, 0.0000, 0.0000)  6 As 3.21-3.31, 2 Sb 3.34, 4 Na 3.55
Na (0.1812, 0.6547, 0.7059)  3 As 3.16-3.22, 4 Sb 3.18-3.36
Na (0.8188, 0.3453, 0.2941)  3 As 3.16-3.22, 4 Sb 3.18-3.36
Sb (0.1495, 0.9122, 0.3861)  2 Sb 2.87, 1 Na 3.18
Sb (0.8505, 0.0878, 0.6139)  2 Sb 2.87, 1 Na 3.18
As (0.3375, 0.5934, 0.0820)  2 As 2.59
As (0.6625, 0.4066, 0.9180)  2 As 2.59

Output
The calculated volume is 27.2 A^3/atom. The total magnetization is 0.000 μB/f.u. Its space group is P-1 (2). Its raw total energy is -0.1226 Ha/atom.

[11]
Material: Na3SbAs
Method: DFT, GGA-PBE
State: optimized geometry

a b c (Å): 5.5355 5.5355 5.5355
angles (deg): 90.00 90.00 90.00
With the nearest neighbours (Å) after each atom.
Positions (direct):
Na (0.0000, 0.0000, 0.5000)  2 As 2.77
Na (0.0000, 0.5000, 0.0000)  2 As 2.77
Na (0.5000, 0.0000, 0.0000)  2 As 2.77
Sb (0.5000, 0.5000, 0.5000)  12 Na 3.91
As (0.0000, 0.0000, 0.0000)  6 Na 2.77

Output
For the energy above the most stable polymorph in this dataset, the calculation gives 2.08 eV per formula unit. The calculated volume is 33.9 A^3/atom. The total magnetization is 2.738 μB/f.u. Its space group is Pm-3m (221).